1.
Entry from Alexandria via LeMat-Bulk: AlAg2Mo after structural relaxation (GGA-PBE).

## Properties
Final energy   -0.177 hartree per atom

Cell and atoms, written as POSCAR:
```
AlAg2Mo
1.0
-0.5538 -2.4815 1.4261
3.5188 -2.0981 -2.2843
3.1010 1.3438 3.5425
Al Ag Mo
1 2 1
Direct
0.5000 0.0000 0.5000
0.5000 0.5000 0.0000
0.0000 0.0000 0.0000
0.0000 0.5000 0.5000
```


2.
Entry from Alexandria via LeMat-Bulk: ErSc3Rh after structural relaxation (GGA-PBE).

## Properties
Final energy   -0.236 hartree per atom

Cell and atoms, written as POSCAR:
```
ErSc3Rh
1.0
5.0585 0.0000 0.0000
0.0000 5.0585 0.0000
0.0000 0.0000 5.0585
Sc Rh Er
3 1 1
Direct
0.5000 0.0000 0.0000
0.0000 0.5000 0.0000
0.0000 0.0000 0.5000
0.0000 0.0000 0.0000
0.5000 0.5000 0.5000
```


3.
Entry from Alexandria via LeMat-Bulk: Dy4Tl3Te8 after structural relaxation (GGA-PBE).

## Properties
E_form (uncorrected)   -0.96 eV/atom
Final energy   -0.159 hartree per atom

Cell and atoms, written as POSCAR:
```
Dy4Tl3Te8
1.0
-8.0525 -3.6840 -0.8981
6.3378 -4.3084 4.7473
1.0127 7.1844 5.3504
Te Tl Dy
8 3 4
Direct
0.0165 0.7617 0.7617
0.5202 0.7719 0.7719
0.4798 0.2281 0.2281
0.5000 0.2408 0.7592
0.9835 0.2383 0.2383
0.0000 0.2461 0.7539
0.5000 0.7592 0.2408
0.0000 0.7539 0.2461
0.5000 0.0000 0.5000
0.5000 0.5000 0.0000
0.5000 0.5000 0.5000
0.0000 0.5000 0.0000
0.0000 0.0000 0.0000
0.5000 0.0000 0.0000
0.0000 0.0000 0.5000
```


4.
Entry from Alexandria via LeMat-Bulk: Sm5ZrGa4 after structural relaxation (GGA-PBE).

## Properties
Final energy   -0.175 hartree per atom

Cell and atoms, written as POSCAR:
```
Sm5ZrGa4
1.0
-2.6376 -1.6854 2.6779
-3.3672 -4.3673 -6.0651
5.7752 -5.9755 -1.2407
Ga Zr Sm
4 1 5
Direct
0.0189 0.2263 0.0378
0.3632 0.8316 0.7265
0.6368 0.1684 0.2735
0.9811 0.7737 0.9622
0.5000 0.0000 0.0000
0.1714 0.8820 0.3427
0.1732 0.4266 0.3464
0.8268 0.5734 0.6536
0.8286 0.1180 0.6573
0.5000 0.5000 0.0000
```


5.
Entry from Alexandria via LeMat-Bulk: CeMgSc2 after structural relaxation (GGA-PBE).

## Properties
Final energy   -0.184 hartree per atom

Cell and atoms, written as POSCAR:
```
CeMgSc2
1.0
-0.1630 -2.9864 -1.2701
-0.7677 -2.5295 1.8896
-10.8473 -0.3120 -2.0308
Mg Ce Sc
1 1 2
Direct
0.6665 0.6665 0.0006
0.5003 0.5003 0.4990
0.0812 0.0812 0.7563
0.2520 0.2520 0.2441
```


6.
Entry from Alexandria via LeMat-Bulk: KSmHgF6 after structural relaxation (GGA-PBE).

## Properties
E_form (uncorrected)   -2.88 eV/atom
Final energy   -0.177 hartree per atom

Cell and atoms, written as POSCAR:
```
KSmHgF6
1.0
6.2898 0.0000 0.0000
-3.1449 5.4472 0.0000
0.0000 0.0000 10.3928
F K Hg Sm
12 2 2 2
Direct
0.6295 0.9897 0.8610
0.3705 0.3602 0.3610
0.3602 0.3705 0.8610
0.6398 0.0103 0.3610
0.0103 0.6398 0.8610
0.3602 0.9897 0.6390
0.9897 0.6295 0.3610
0.3705 0.0103 0.1390
0.6295 0.6398 0.6390
0.0103 0.3705 0.6390
0.9897 0.3602 0.1390
0.6398 0.6295 0.1390
0.0000 0.0000 0.5000
0.0000 0.0000 0.0000
0.6667 0.3333 0.7500
0.3333 0.6667 0.2500
0.3333 0.6667 0.7500
0.6667 0.3333 0.2500
```


7.
Entry from Alexandria via LeMat-Bulk: CaMgIr2 after structural relaxation (GGA-PBE).

## Properties
Final energy   -0.199 hartree per atom

Cell and atoms, written as POSCAR:
```
CaMgIr2
1.0
-1.6671 -4.6652 -0.5412
4.9786 -0.2063 0.0829
-0.0620 -0.3176 2.9289
Ir Ca Mg
2 1 1
Direct
0.0000 0.0000 0.0000
0.5000 0.5000 0.0000
0.0000 0.5000 0.5000
0.5000 0.0000 0.5000
```


8.
Entry from Alexandria via LeMat-Bulk: SrLiH2 after structural relaxation (GGA-PBE).

## Properties
Final energy   -0.100 hartree per atom

Cell and atoms, written as POSCAR:
```
SrLiH2
1.0
-0.3008 4.2074 -2.3689
-2.7522 1.8008 3.5478
3.0524 4.8141 3.2227
H Sr Li
4 2 2
Direct
0.8750 0.7793 0.7500
0.3750 0.4707 0.7500
0.2207 0.6250 0.2500
0.5293 0.1250 0.2500
0.7500 0.2500 0.5000
0.0000 0.0000 0.0000
0.5000 0.5000 0.0000
0.2500 0.7500 0.5000
```


9.
Entry from Alexandria via LeMat-Bulk: SrZnAu3 after structural relaxation (GGA-PBE).

## Properties
Final energy   -0.107 hartree per atom

Cell and atoms, written as POSCAR:
```
SrZnAu3
1.0
-3.9714 0.0827 2.9849
2.9625 -0.5137 3.9558
0.3744 4.9414 0.3613
Sr Au Zn
1 3 1
Direct
0.5000 0.5000 0.5000
0.0000 0.5000 0.0000
0.0000 0.0000 0.5000
0.5000 0.0000 0.0000
0.0000 0.0000 0.0000
```


10.
Entry from Alexandria via LeMat-Bulk: H2RhSe after structural relaxation (GGA-PBE).

## Properties
Final energy   -0.135 hartree per atom

Cell and atoms, written as POSCAR:
```
H2RhSe
1.0
1.2083 0.5788 3.5920
-2.5058 0.9801 2.7309
-0.9096 -2.5054 2.7555
Se Rh H
1 1 2
Direct
0.0000 0.0000 0.0000
0.5000 0.5000 0.5000
0.7500 0.7500 0.7500
0.2500 0.2500 0.2500
```


11.
Entry from Alexandria via LeMat-Bulk: BaReN3 after structural relaxation (GGA-PBE).

## Properties
E_form (uncorrected)   -0.22 eV/atom
Final energy   -0.297 hartree per atom

Cell and atoms, written as POSCAR:
```
BaReN3
1.0
-2.2704 -1.7802 -3.7569
5.8194 -4.1203 -2.1631
-1.6916 -5.9199 1.5136
Re N Ba
2 6 2
Direct
0.2455 0.0867 0.4620
0.7510 0.2252 0.3405
0.9744 0.0002 0.2580
0.7605 0.4209 0.1122
0.3672 0.7398 0.7928
0.2688 0.0373 0.1587
0.3320 0.8814 0.6576
0.9242 0.2570 0.5694
0.3788 0.3667 0.8463
0.7624 0.8050 0.0239
```


12.
Entry from Alexandria via LeMat-Bulk: Pm2HgS4 after structural relaxation (GGA-PBE).

## Properties
E_form (uncorrected)   -1.33 eV/atom
Final energy   -0.187 hartree per atom

Cell and atoms, written as POSCAR:
```
Pm2HgS4
1.0
6.8469 0.0000 0.1593
0.0000 7.1342 0.0000
-2.3384 0.0000 7.3139
S Pm Hg
8 4 2
Direct
0.4892 0.9917 0.7472
0.0063 0.2500 0.1326
0.9976 0.7500 0.3833
0.5108 0.0083 0.2528
0.0024 0.2500 0.6167
0.4892 0.5083 0.7472
0.5108 0.4917 0.2528
0.9937 0.7500 0.8674
0.7005 0.7500 0.5490
0.2971 0.2500 0.9470
0.2995 0.2500 0.4510
0.7029 0.7500 0.0530
0.7711 0.2500 0.8157
0.2289 0.7500 0.1843
```